First-principles (PBE) data for an optimized crystal structure of La5Nd2Y2, as listed in Alexandria via LeMat-Bulk.

Summary:
**Calculated formation energy**: 0.176 eV/atom
**D(E_F)**: 49.919 states/eV per cell
**Crystal system**: orthorhombic
**DFT total energy**: -5.058 eV per atom
**E above lowest polymorph**: 1.42 eV per formula unit

Unit cell a=15.0702 b=11.9425 c=7.0177 alpha=90.00 beta=90.00 gamma=90.00
Space group Ima2 (No. 46)
Unique sites:
La  0.0516  0.2361  0.0000 x8
La  0.1437  0.7271  0.3403 x8
La  0.2500  0.2476  0.8258 x4
Nd  0.0000  0.0000  0.6537 x4
Nd  0.2500  0.5043  0.1246 x4
Y  0.1275  0.5060  0.6754 x8



First-principles (PBE) data for an optimized crystal structure of Ti6Pb2Se, as listed in Alexandria via LeMat-Bulk.

Summary:
**D(E_F)**: 6.660 states/eV per cell
**Formation energy from raw total energies**: -7.190 kcal/mol of atoms
**Crystal system**: hexagonal
**DFT total energy**: -6.786 eV per atom

Unit cell a=7.4278 b=7.4278 c=3.4896 alpha=90.00 beta=90.00 gamma=120.00
Space group P-62m (No. 189)
Unique sites:
Ti  0.0000  0.3620  0.0000 x3
Ti  0.0000  0.7542  0.5000 x3
Pb  0.3333  0.6667  0.5000 x2
Se  0.0000  0.0000  0.0000 x1



First-principles (PBE) data for an optimized crystal structure of Hf2VPd2, as listed in Alexandria via LeMat-Bulk.

Summary:
**Calculated formation energy**: -0.313 eV/atom
**D(E_F)**: 14.911 states/eV per cell
**Crystal system**: tetragonal
**DFT total energy**: -8.195 eV per atom

Unit cell a=7.5113 b=7.5113 c=3.2897 alpha=90.00 beta=90.00 gamma=90.00
Space group P4/mbm (No. 127)
Unique sites:
Hf  0.1729  0.3271  0.0000 x4
V  0.0000  0.0000  0.5000 x2
Pd  0.1291  0.6291  0.5000 x4



Number 1: magnetization 0.00 μB per cell. Number 2: magnetization 0.00 μB per cell. Number 3: magnetization 6.17 μB per cell.